The following is a PBE with a Hubbard U calculation of a relaxed structure of Mn15O32, from Alexandria.

Calculated values
The total energy is -6.908 eV/atom. The total magnetization is 41.00 μB per formula unit. Its density of states at the Fermi level is 8.89 states/eV/f.u. As for the crystal system: monoclinic.

Unit cell a=5.826 b=5.826 c=19.287 alpha=98.53 beta=98.53 gamma=59.91
Element x y z (fractional)
Mn1 0.000 0.000 0.000
Mn2 0.000 0.500 0.000
Mn3 0.000 0.500 0.500
Mn4 0.125 0.125 0.875
Mn5 0.249 0.749 0.251
Mn6 0.251 0.251 0.749
Mn7 0.251 0.751 0.749
Mn8 0.377 0.377 0.623
Mn9 0.500 0.000 0.000
Mn10 0.500 0.000 0.500
Mn11 0.623 0.623 0.377
Mn12 0.749 0.249 0.251
Mn13 0.749 0.749 0.251
Mn14 0.751 0.251 0.749
Mn15 0.875 0.875 0.125
O1 0.043 0.043 0.192
O2 0.044 0.603 0.192
O3 0.067 0.067 0.698
O4 0.104 0.546 0.691
O5 0.147 0.706 0.059
O6 0.183 0.183 0.051
O7 0.190 0.648 0.561
O8 0.205 0.205 0.560
O9 0.294 0.294 0.941
O10 0.294 0.853 0.941
O11 0.297 0.297 0.446
O12 0.352 0.810 0.439
O13 0.397 0.956 0.808
O14 0.434 0.434 0.801
O15 0.454 0.896 0.309
O16 0.455 0.455 0.310
O17 0.545 0.545 0.690
O18 0.546 0.104 0.691
O19 0.566 0.566 0.199
O20 0.603 0.044 0.192
O21 0.648 0.190 0.561
O22 0.703 0.703 0.554
O23 0.706 0.147 0.059
O24 0.706 0.706 0.059
O25 0.795 0.795 0.440
O26 0.810 0.352 0.439
O27 0.817 0.817 0.949
O28 0.853 0.294 0.941
O29 0.896 0.454 0.309
O30 0.933 0.933 0.302
O31 0.956 0.397 0.808
O32 0.957 0.957 0.808